La2Sc2W after structural relaxation, computed with GGA-PBE.

abc: 3.9647 3.9647 8.8868
angles: 77.11 77.11 90.00
Atoms (fractional coordinates):
Sc (0.4204, 0.4204, 0.1592)
Sc (0.5796, 0.5796, 0.8408)
W (0.0000, 0.0000, 0.0000)
La (0.7500, 0.2500, 0.5000)
La (0.2500, 0.7500, 0.5000)

Output
space-group type	No. 139
crystal system	tetragonal
uncorrected energy	-30.50	eV per cell
polymorph energy (0 for the lowest one)	0.488	eV/atom
density of states at the Fermi level	6.749	states/eV/f.u.

=====

CdSbOsSe2 after structural relaxation, computed with GGA-PBE.

abc: 4.7684 5.4809 4.7684
angles: 90.00 90.00 90.00
Site moments in Bohr magnetons follow the coordinates.
Atoms (fractional coordinates):
Sb (0.5000, 0.5000, 0.5000)  0.10
Os (0.0000, 0.0000, 0.0000)  0.04
Se (0.0000, 0.0000, 0.5000)  0.04
Se (0.5000, 0.0000, 0.0000)  0.01
Cd (0.0000, 0.5000, 0.0000)  0.01

Output
energy relative to the elements, uncorrected	3.08	eV/f.u.
space-group type	No. 123
crystal system	tetragonal
uncorrected energy	-20.15	eV per cell
polymorph energy (0 for the lowest one)	0.000	eV/atom
density of states at the Fermi level	7.793	states/eV/f.u.

=====

ZrMo2Os after structural relaxation, computed with GGA-PBE.

abc: 3.2098 3.2098 6.5261
angles: 90.00 90.00 90.00
Atoms (fractional coordinates):
Mo (0.0000, 0.0000, 0.0189)
Mo (0.5000, 0.5000, 0.2433)
Os (0.0000, 0.0000, 0.4905)
Zr (0.5000, 0.5000, 0.7474)

Output
space-group type	No. 99
crystal system	tetragonal
uncorrected energy	-41.79	eV per cell
polymorph energy (0 for the lowest one)	0.038	eV/atom
density of states at the Fermi level	1.980	states/eV/f.u.

=====

K12Rb3Ba after structural relaxation, computed with GGA-PBE.

abc: 6.6959 6.6959 26.7138
angles: 90.00 90.00 90.00
Atoms (fractional coordinates):
K (0.5000, 0.5000, 0.0000)
K (0.5000, 0.5000, 0.2491)
K (0.5000, 0.5000, 0.5000)
K (0.5000, 0.5000, 0.7509)
K (0.5000, 0.0000, 0.1217)
K (0.5000, 0.0000, 0.3740)
K (0.5000, 0.0000, 0.6260)
K (0.5000, 0.0000, 0.8783)
K (0.0000, 0.5000, 0.1217)
K (0.0000, 0.5000, 0.3740)
K (0.0000, 0.5000, 0.6260)
K (0.0000, 0.5000, 0.8783)
Rb (0.0000, 0.0000, 0.2465)
Rb (0.0000, 0.0000, 0.5000)
Rb (0.0000, 0.0000, 0.7535)
Ba (0.0000, 0.0000, 0.0000)

Output
space-group type	No. 123
crystal system	tetragonal
uncorrected energy	-17.48	eV per cell
density of states at the Fermi level	14.079	states/eV/f.u.

=====

Nd3Ge6Pd2Rh after structural relaxation, computed with GGA-PBE.

abc: 6.0145 6.0145 8.0677
angles: 90.00 90.00 120.00
Atoms (fractional coordinates):
Nd (0.3333, 0.6667, 0.6262)
Nd (0.6667, 0.3333, 0.3738)
Nd (0.0000, 0.0000, 0.0000)
Ge (0.6263, 0.8132, 0.2897)
Ge (0.1868, 0.3737, 0.2897)
Ge (0.1868, 0.8132, 0.2897)
Ge (0.8132, 0.6263, 0.7103)
Ge (0.3737, 0.1868, 0.7103)
Ge (0.8132, 0.1868, 0.7103)
Pd (0.6667, 0.3333, 0.9742)
Pd (0.3333, 0.6667, 0.0258)
Rh (0.0000, 0.0000, 0.5000)

Output
space-group type	No. 164
crystal system	trigonal
uncorrected energy	-65.64	eV per cell
density of states at the Fermi level	5.390	states/eV/f.u.

=====

Ce4ZnIr2 after structural relaxation, computed with GGA-PBE.

abc: 7.2967 7.2969 7.9635
angles: 108.19 108.19 108.59
Site moments in Bohr magnetons follow the coordinates.
Atoms (fractional coordinates):
Ce (0.8584, 0.2540, 0.2589)  0.37
Ce (0.2527, 0.5085, 0.1177)  0.42
Ce (0.9952, 0.5995, 0.7412)  0.37
Ce (0.7585, 0.0026, 0.6175)  0.42
Ce (0.3851, 0.1409, 0.3825)  0.42
Ce (0.3910, 0.1353, 0.8826)  0.42
Ce (0.5040, 0.6085, 0.7588)  0.37
Ce (0.8495, 0.7451, 0.2409)  0.37
Zn (0.2505, 0.7508, 0.5001)  0.01
Zn (0.0006, 0.0006, 0.0000)  0.01
Ir (0.7701, 0.3787, 0.8966)  -0.03
Ir (0.4821, 0.8734, 0.1033)  -0.03
Ir (0.6289, 0.5200, 0.3966)  -0.03
Ir (0.1234, 0.2321, 0.6033)  -0.03

Output
space-group type	No. 43
crystal system	orthorhombic
uncorrected energy	-92.30	eV per cell
density of states at the Fermi level	17.567	states/eV/f.u.